(1)
Entry from the Alexandria database: a relaxed La3InIr crystal (PBE-GGA).

Computed properties:
- Density of states at the Fermi level: 5.62 states/eV/f.u.
- Volume: 31.3 Å³ per atom
- Mass density: 7.68 Mg/m³
- ΔH_f (0 K): -0.557 eV per atom
- Relative energy among the computed polymorphs: 0 meV/atom

```
La3InIr
1.0
20.733 0.000 0.990
0.000 7.653 0.000
-6.905 0.000 3.615
Ir La In
4 12 4
Direct
0.948 0.266 0.833
0.052 0.734 0.167
0.552 0.766 0.667
0.448 0.234 0.333
0.552 0.983 0.356
0.441 0.482 0.598
0.250 0.790 0.883
0.250 0.290 0.617
0.448 0.017 0.644
0.059 0.982 0.902
0.750 0.710 0.383
0.750 0.210 0.117
0.052 0.517 0.856
0.941 0.018 0.098
0.559 0.518 0.402
0.948 0.483 0.144
0.689 0.266 0.384
0.811 0.766 0.116
0.189 0.234 0.884
0.311 0.734 0.616
```

***

(2)
Entry from the Alexandria database: a relaxed LaInIr2 crystal (PBE-GGA).

Computed properties:
- Density of states at the Fermi level: 3.87 states/eV/f.u.
- Volume: 23.3 Å³ per atom
- Mass density: 11.38 Mg/m³
- ΔH_f (0 K): -0.354 eV per atom

```
LaInIr2
1.0
-0.695 4.595 -3.072
-4.482 1.826 -2.759
-3.195 4.472 0.907
Ir La In
2 1 1
Direct
0.441 0.441 0.441
0.059 0.059 0.059
0.250 0.250 0.250
0.750 0.750 0.750
```

***

(3)
Entry from the Alexandria database: a relaxed La5InIr crystal (PBE-GGA).

Computed properties:
- Density of states at the Fermi level: 8.52 states/eV/f.u.
- Volume: 31.1 Å³ per atom
- Mass density: 7.64 Mg/m³
- ΔH_f (0 K): -0.386 eV per atom
- Relative energy among the computed polymorphs: 0 meV/atom

```
La5InIr
1.0
5.089 0.000 0.000
0.000 5.089 0.000
0.000 0.000 8.406
La Ir In
5 1 1
Direct
0.500 0.500 0.500
0.000 0.500 0.800
0.500 0.000 0.200
0.500 0.000 0.800
0.000 0.500 0.200
0.500 0.500 0.000
0.000 0.000 0.500
```